Here is a relaxed structure of Ta2Si6Mo from the Alexandria database. Energies are from PBE.

It has space group C222 (No. 21), with a = 4.733 Å, b = 8.282 Å, c = 6.563 Å, α = 90.00°, β = 90.00° and γ = 90.00°. The distinct sites, in fractional coordinates, are Ta at (0.250, 0.250, 0.165), Si at (0.000, 0.339, 0.500), Si at (0.241, 0.422, 0.831) and Mo at (0.000, 0.000, 0.500).

The calculation puts the density of states at the Fermi level at 0.4026 states/eV/atom. Its total DFT energy (no corrections) is -7.917 eV per atom. The raw formation energy is -0.465 eV/atom. The magnetic moment comes out at 0.000 μB per formula unit.

=====

Here is a relaxed structure of TaSiMo from the Alexandria database. Energies are from PBE.

It has space group Cmcm (No. 63), with a = 3.785 Å, b = 9.509 Å, c = 5.285 Å, α = 90.00°, β = 90.00° and γ = 90.00°. The distinct sites, in fractional coordinates, are Ta at (0.000, 0.197, 0.250), Si at (0.000, 0.111, 0.750) and Mo at (0.000, 0.500, 0.000).

The calculation puts the density of states at the Fermi level at 0.4086 states/eV/atom. Its total DFT energy (no corrections) is -9.722 eV per atom. The raw formation energy is -0.353 eV/atom. The magnetic moment comes out at 0.000 μB per formula unit.

=====

Here is a relaxed structure of TaSiMo2 from the Alexandria database. Energies are from PBE.

It has space group P4mm (No. 99), with a = 3.328 Å, b = 3.328 Å, c = 5.694 Å, α = 90.00°, β = 90.00° and γ = 90.00°. The distinct sites, in fractional coordinates, are Ta at (0.000, 0.000, 0.000), Si at (0.500, 0.500, 0.749), Mo at (0.000, 0.000, 0.530) and Mo at (0.500, 0.500, 0.256).

The calculation puts the density of states at the Fermi level at 0.9101 states/eV/atom. Its total DFT energy (no corrections) is -9.887 eV per atom. The raw formation energy is -0.152 eV/atom. The magnetic moment comes out at 0.000 μB per formula unit.

=====

Here is a relaxed structure of TaSiMo2 from the Alexandria database. Energies are from PBE.

It has space group P4/mmm (No. 123), with a = 4.331 Å, b = 4.331 Å, c = 3.312 Å, α = 90.00°, β = 90.00° and γ = 90.00°. The distinct sites, in fractional coordinates, are Ta at (0.000, 0.000, 0.000), Si at (0.500, 0.500, 0.000) and Mo at (0.000, 0.500, 0.500).

The calculation puts the density of states at the Fermi level at 1.3737 states/eV/atom. Its total DFT energy (no corrections) is -9.887 eV per atom. The raw formation energy is -0.152 eV/atom. The magnetic moment comes out at 0.006 μB per formula unit.